[1]
MoHIN2: optimized geometry, PBE.

Cell lengths 4.124, 4.124, 3.294 Å; angles 90.00, 90.00, 90.00 degrees
Fractional positions:
Mo: 0.000 0.000 0.000
H: 0.500 0.500 0.500
I: 0.500 0.500 0.000
N: 0.000 0.500 0.500
N: 0.500 0.000 0.500

Calculated values
The distance to the lowest polymorph of the same formula is 1.332 eV/atom. As for the total energy: -21.48 eV/cell. The space-group type is P4/mmm.


[2]
Y2In3Hg: optimized geometry, PBE.

Cell lengths 9.891, 9.279, 6.107 Å; angles 76.97, 66.05, 36.98 degrees
Fractional positions:
Y: 0.248 0.752 0.752
Y: 0.250 0.250 0.250
Y: 0.750 0.750 0.750
Y: 0.752 0.248 0.248
In: 0.165 0.667 0.333
In: 0.332 0.332 0.668
In: 0.333 0.835 0.165
In: 0.667 0.165 0.835
In: 0.668 0.668 0.332
In: 0.835 0.333 0.667
Hg: 0.167 0.167 0.833
Hg: 0.833 0.833 0.167

Calculated values
The distance to the lowest polymorph of the same formula is 0.004 eV/atom. As for the total energy: -47.93 eV/cell. The calculation puts the formation energy from the elements at -0.42 eV per atom. The space-group type is Fmmm.


[3]
BaLi4AgHg2: optimized geometry, PBE.

Cell lengths 9.822, 9.822, 9.822 Å; angles 27.78, 27.78, 27.78 degrees
Fractional positions:
Ba: 0.000 0.000 0.000
Li: 0.137 0.137 0.137
Li: 0.412 0.412 0.412
Li: 0.588 0.588 0.588
Li: 0.863 0.863 0.863
Ag: 0.500 0.500 0.500
Hg: 0.238 0.238 0.238
Hg: 0.762 0.762 0.762

Calculated values
As for the total energy: -15.10 eV/cell. The calculation puts the formation energy from the elements at -0.26 eV per atom. The space-group type is R-3m.


[4]
VGaH3: optimized geometry, PBE.

Cell lengths 3.495, 3.495, 3.495 Å; angles 90.00, 90.00, 90.00 degrees
Fractional positions:
V: 0.000 0.000 0.000
Ga: 0.500 0.500 0.500
H: 0.000 0.500 0.500
H: 0.500 0.000 0.500
H: 0.500 0.500 0.000

Calculated values
The distance to the lowest polymorph of the same formula is 0.549 eV/atom. As for the total energy: -18.52 eV/cell. The space-group type is Pm-3m.


[5]
Li2PmPd: optimized geometry, PBE.

Cell lengths 4.098, 8.051, 5.495 Å; angles 90.00, 111.79, 90.00 degrees
Fractional positions:
Li: 0.162 0.056 0.326
Li: 0.162 0.444 0.326
Li: 0.838 0.556 0.674
Li: 0.838 0.944 0.674
Pm: 0.444 0.250 0.890
Pm: 0.556 0.750 0.110
Pd: 0.266 0.750 0.530
Pd: 0.734 0.250 0.470

Calculated values
The distance to the lowest polymorph of the same formula is 0.000 eV/atom. As for the total energy: -30.21 eV/cell. The calculation puts the formation energy from the elements at -0.33 eV per atom. The space-group type is P2_1/m.


[6]
CdSi4As: optimized geometry, PBE.

Cell lengths 5.281, 5.281, 5.281 Å; angles 60.00, 60.00, 60.00 degrees
Fractional positions:
Cd: 0.000 0.000 0.000
Si: 0.126 0.625 0.625
Si: 0.625 0.126 0.625
Si: 0.625 0.625 0.126
Si: 0.625 0.625 0.625
As: 0.250 0.250 0.250

Calculated values
The formation energy from raw total energies comes out at 0.570 eV per atom. As for the total energy: -23.84 eV/cell. The space-group type is F-43m.


no.,DOS(E_F) (states/eV/cell)
1,5.319
2,7.047
3,3.148
4,2.012
5,5.438
6,3.710